## Pm8Tm6Cd (GGA-PBE)

Data for a geometry-optimized Pm8Tm6Cd structure.

Values from the calculation:
theoretical density: 7.81 g cm⁻³
calculated volume: 486.0 Å³/cell
formation energy from the elements: 10.1 kJ per mole of atoms
E_tot: -4.278 eV/atom

```
data_Pm8Tm6Cd
_cell_length_a 6.348
_cell_length_b 9.402
_cell_length_c 9.402
_cell_angle_alpha 120.00
_cell_angle_beta 90.00
_cell_angle_gamma 90.00
_symmetry_space_group_name_H-M 'P 1'
_symmetry_Int_Tables_number 1
_symmetry_space_group_name_Hall 'P 1'
loop_
_atom_site_label
_atom_site_type_symbol
_atom_site_fract_x
_atom_site_fract_y
_atom_site_fract_z
Pm1 Pm 0.814 0.043 0.272
Pm2 Pm 0.186 0.957 0.728
Pm3 Pm 0.186 0.771 0.043
Pm4 Pm 0.814 0.229 0.957
Pm5 Pm 0.180 0.667 0.333
Pm6 Pm 0.186 0.272 0.229
Pm7 Pm 0.820 0.333 0.667
Pm8 Pm 0.814 0.728 0.771
Tm1 Tm 0.678 0.643 0.098
Tm2 Tm 0.678 0.902 0.545
Tm3 Tm 0.322 0.545 0.643
Tm4 Tm 0.322 0.357 0.902
Tm5 Tm 0.322 0.098 0.455
Tm6 Tm 0.678 0.455 0.357
Cd1 Cd 0.500 0.000 0.000
```



## Y2VW (GGA-PBE)

Data for a geometry-optimized Y2VW structure.

Values from the calculation:
energy relative to the lowest polymorph listed for this composition: 0.000 eV/atom
theoretical density: 7.55 g cm⁻³
calculated volume: 90.8 Å³/cell
formation energy from the elements: 60.5 kJ per mole of atoms
E_tot: -8.123 eV/atom

```
data_Y2VW
_cell_length_a 5.044
_cell_length_b 5.044
_cell_length_c 5.044
_cell_angle_alpha 60.00
_cell_angle_beta 60.00
_cell_angle_gamma 60.00
_symmetry_space_group_name_H-M 'P 1'
_symmetry_Int_Tables_number 1
_symmetry_space_group_name_Hall 'P 1'
loop_
_atom_site_label
_atom_site_type_symbol
_atom_site_fract_x
_atom_site_fract_y
_atom_site_fract_z
Y1 Y 0.250 0.250 0.250
Y2 Y 0.750 0.750 0.750
W1 W 0.500 0.500 0.500
V1 V 0.000 0.000 0.000
```



## LaCd2Si (GGA-PBE)

Data for a geometry-optimized LaCd2Si structure.

Values from the calculation:
theoretical density: 6.36 g cm⁻³
energy relative to the elements, uncorrected: -249 meV per atom
calculated volume: 102.3 Å³/cell
E_tot: -3.294 eV/atom

```
data_LaCd2Si
_cell_length_a 4.066
_cell_length_b 4.369
_cell_length_c 6.156
_cell_angle_alpha 69.34
_cell_angle_beta 90.00
_cell_angle_gamma 90.00
_symmetry_space_group_name_H-M 'P 1'
_symmetry_Int_Tables_number 1
_symmetry_space_group_name_Hall 'P 1'
loop_
_atom_site_label
_atom_site_type_symbol
_atom_site_fract_x
_atom_site_fract_y
_atom_site_fract_z
Cd1 Cd 0.000 0.799 0.028
Cd2 Cd 0.500 0.220 0.186
Si1 Si 0.500 0.964 0.697
La1 La 0.000 0.517 0.589
```



## CdFe3 (GGA-PBE)

Data for a geometry-optimized CdFe3 structure.

Values from the calculation:
theoretical density: 8.19 g cm⁻³
calculated volume: 56.8 Å³/cell
formation energy from the elements: 31.8 kJ per mole of atoms
E_tot: -6.246 eV/atom

```
data_CdFe3
_cell_length_a 2.772
_cell_length_b 4.274
_cell_length_c 4.794
_cell_angle_alpha 90.00
_cell_angle_beta 90.00
_cell_angle_gamma 90.00
_symmetry_space_group_name_H-M 'P 1'
_symmetry_Int_Tables_number 1
_symmetry_space_group_name_Hall 'P 1'
loop_
_atom_site_label
_atom_site_type_symbol
_atom_site_fract_x
_atom_site_fract_y
_atom_site_fract_z
Fe1 Fe 0.500 0.000 0.499
Fe2 Fe 0.500 0.500 0.787
Fe3 Fe 0.000 0.500 0.374
Cd1 Cd 0.000 0.000 0.006
```